1.
A relaxed structure of PmBiN2O, computed with PBE.

Cell and atoms, written as extended XYZ:
```
10
Lattice="-1.3398 2.5140 -2.4169 -6.1349 -2.7328 0.5583 -1.2643 3.7860 4.6390" Properties=species:S:1:pos:R:3 pbc="T T T"
N -5.2899 0.4660 0.5299
N -6.1697 -0.1812 3.2316
N -3.5536 3.4140 2.6339
N -0.8255 0.0247 0.4833
O -4.8598 1.9956 4.7698
O -3.0618 0.6219 2.3442
Pm -3.0741 1.0061 -0.1366
Pm -5.5095 2.0959 2.3470
Bi -5.3764 -1.4216 1.5017
Bi -1.9566 2.2764 3.4525
```

V ... 15.4 Å³ per atom
Calculated total energy ... -6.670 eV/atom



2.
A relaxed structure of Tb3Nb3Mo2N12, computed with PBE.

Cell and atoms, written as extended XYZ:
```
80
Lattice="-6.4100 6.4100 6.4100 6.4100 -6.4100 6.4100 6.4100 6.4100 -6.4100" Properties=species:S:1:pos:R:3 pbc="T T T"
N 4.5337 6.7858 5.7140
N 0.6959 8.2862 0.3758
N 0.6959 1.8762 -0.3758
N 2.5090 2.8292 7.7387
N 3.9009 -3.5808 7.7387
N 1.8762 -0.3758 0.6959
N 7.1059 4.5337 0.3758
N 7.7387 3.9009 -3.5808
N 2.5090 3.5808 1.3288
N -2.5090 3.5808 7.7387
N 9.9908 -1.3288 2.5090
N 0.6959 4.5337 6.0341
N 0.3758 5.7140 1.8762
N 5.0812 3.9009 2.8291
N -1.3288 8.9190 2.8292
N 8.9190 2.8292 -1.3288
N 3.9009 3.5808 -1.3288
N 8.2862 0.3758 0.6959
N 0.3758 7.1059 4.5337
N 6.0341 -0.6959 1.8762
N 2.5090 9.9908 -1.3288
N 5.7140 1.8762 0.3758
N 3.5808 1.3288 2.5090
N 5.7140 4.5337 6.7858
N -1.3288 3.9009 3.5808
N 1.8762 0.3758 5.7140
N 6.7858 5.7140 4.5337
N 4.5337 6.0341 0.6959
N 7.7387 2.5090 2.8292
N 1.8762 6.0341 -0.6959
N 6.0341 5.7140 -1.8762
N -1.3288 2.5090 9.9908
N 3.5808 7.7387 -2.5090
N 0.3758 0.6959 8.2862
N -3.5808 7.7387 3.9009
N 3.5808 -1.3288 3.9009
N 1.3288 2.5090 3.5808
N 4.5337 0.3758 7.1059
N 2.8292 7.7387 2.5090
N 7.7387 -2.5090 3.5808
N -0.6959 1.8762 6.0341
N 3.9009 2.8291 5.0812
N 6.0341 0.6959 4.5337
N 5.7140 -1.8762 6.0341
N -0.3758 0.6959 1.8762
N 2.8292 -1.3288 8.9190
N -1.8762 6.0341 5.7140
N 2.8291 5.0812 3.9009
Nb 4.8075 6.4100 -3.2050
Nb 9.6150 1.6025 0.0000
Nb 6.4100 -3.2050 4.8075
Nb 0.0000 3.2050 4.8075
Nb 1.6025 6.4100 3.2050
Nb 6.4100 3.2050 1.6025
Nb 3.2050 1.6025 6.4100
Nb 4.8075 0.0000 3.2050
Nb 3.2050 4.8075 0.0000
Nb 1.6025 0.0000 9.6150
Nb -3.2050 4.8075 6.4100
Nb 0.0000 9.6150 1.6025
Tb 4.8075 6.4100 3.2050
Tb 3.2050 -1.6025 6.4100
Tb 1.6025 0.0000 3.2050
Tb 0.0000 3.2050 8.0125
Tb 6.4100 3.2050 4.8075
Tb 6.4100 3.2050 -1.6025
Tb 8.0125 0.0000 3.2050
Tb -1.6025 6.4100 3.2050
Tb 3.2050 8.0125 0.0000
Tb 0.0000 3.2050 1.6025
Tb 3.2050 1.6025 0.0000
Tb 3.2050 4.8075 6.4100
Mo 3.2050 -3.2050 3.2050
Mo -3.2050 3.2050 3.2050
Mo 0.0000 0.0000 6.4100
Mo 0.0000 0.0000 0.0000
Mo 0.0000 6.4100 0.0000
Mo 6.4100 0.0000 0.0000
Mo 3.2050 3.2050 -3.2050
Mo 3.2050 3.2050 3.2050
```

V ... 13.2 Å³ per atom
Calculated total energy ... -9.088 eV/atom



3.
A relaxed structure of CsLaLu, computed with PBE.

Cell and atoms, written as extended XYZ:
```
3
Lattice="0.0000 3.9636 3.9636 3.9636 0.0000 3.9636 3.9636 3.9636 0.0000" Properties=species:S:1:pos:R:3 pbc="T T T"
La 1.9818 1.9818 1.9818
Cs 0.0000 0.0000 0.0000
Lu 5.9455 5.9455 5.9455
```

Relative energy among the computed polymorphs ... 28 meV per atom
V ... 41.5 Å³ per atom
Calculated total energy ... -2.245 eV/atom



4.
A relaxed structure of CsBaGeAu, computed with PBE.

Cell and atoms, written as extended XYZ:
```
4
Lattice="-2.8771 -1.3978 4.9308 -1.3842 4.1895 3.8829 -5.6048 1.6278 0.6940" Properties=species:S:1:pos:R:3 pbc="T T T"
Ba 0.0000 0.0000 0.0000
Ge -2.4665 1.1048 2.3770
Au -7.3996 3.3145 7.1309
Cs -4.9331 2.2097 4.7539
```

Relative energy among the computed polymorphs ... 0 meV per atom
V ... 35.9 Å³ per atom
Calculated total energy ... -2.741 eV/atom



Repeat the fourth record exactly.
A relaxed structure of CsBaGeAu, computed with PBE.

Cell and atoms, written as extended XYZ:
```
4
Lattice="-2.8771 -1.3978 4.9308 -1.3842 4.1895 3.8829 -5.6048 1.6278 0.6940" Properties=species:S:1:pos:R:3 pbc="T T T"
Ba 0.0000 0.0000 0.0000
Ge -2.4665 1.1048 2.3770
Au -7.3996 3.3145 7.1309
Cs -4.9331 2.2097 4.7539
```

Relative energy among the computed polymorphs ... 0 meV per atom
V ... 35.9 Å³ per atom
Calculated total energy ... -2.741 eV/atom



> The lowest V belongs to which entry?

Tb3Nb3Mo2N12



What did the fourth record say?
A relaxed structure of CsBaGeAu, computed with PBE.

Cell and atoms, written as extended XYZ:
```
4
Lattice="-2.8771 -1.3978 4.9308 -1.3842 4.1895 3.8829 -5.6048 1.6278 0.6940" Properties=species:S:1:pos:R:3 pbc="T T T"
Ba 0.0000 0.0000 0.0000
Ge -2.4665 1.1048 2.3770
Au -7.3996 3.3145 7.1309
Cs -4.9331 2.2097 4.7539
```

Relative energy among the computed polymorphs ... 0 meV per atom
V ... 35.9 Å³ per atom
Calculated total energy ... -2.741 eV/atom